First-principles (PBE) data for an optimized crystal structure of VAgAs, as listed in Alexandria.

The space group is P4/nmm (No. 129, origin choice 2) and the conventional cell measures 3.925, 3.925 and 6.570 Å, with angles of 90.00, 90.00 and 90.00 degrees. The asymmetric unit holds V at (0.250, 0.750, 0.000), Ag at (0.250, 0.250, 0.340) and As at (0.250, 0.250, 0.751).

For the formation energy, the calculation gives -0.36 eV/f.u. As for the crystal system: tetragonal.

***

First-principles (PBE) data for an optimized crystal structure of Tb3ThRu3, as listed in Alexandria.

The space group is C2/m (No. 12) and the conventional cell measures 10.038, 9.480 and 6.837 Å, with angles of 90.00, 90.04 and 90.00 degrees. The asymmetric unit holds Tb at (0.000, 0.245, 0.000), Tb at (0.000, 0.247, 0.500), Tb at (0.242, 0.500, 0.501), Th at (0.246, 0.500, 0.001), Ru at (0.000, 0.500, 0.247) and Ru at (0.250, 0.250, 0.237).

Its offset from the most stable computed form is 0.047 eV per atom. For the formation energy, the calculation gives -2.45 eV/f.u. As for the crystal system: monoclinic.

***

First-principles (PBE) data for an optimized crystal structure of Pm5Tl4In, as listed in Alexandria.

The space group is P4/mmm (No. 123) and the conventional cell measures 3.859, 3.859 and 19.508 Å, with angles of 90.00, 90.00 and 90.00 degrees. The asymmetric unit holds Pm at (0.000, 0.000, 0.000), Pm at (0.000, 0.000, 0.201), Pm at (0.000, 0.000, 0.402), Tl at (0.500, 0.500, 0.100), Tl at (0.500, 0.500, 0.301) and In at (0.500, 0.500, 0.500).

For the formation energy, the calculation gives -4.10 eV/f.u. As for the crystal system: tetragonal.

***

First-principles (PBE) data for an optimized crystal structure of Hf2ScN3, as listed in Alexandria.

The space group is Imm2 (No. 44) and the conventional cell measures 3.463, 10.413 and 4.918 Å, with angles of 90.00, 90.00 and 90.00 degrees. The asymmetric unit holds Hf at (0.000, 0.167, 0.000), Sc at (0.000, 0.500, 0.008), N at (0.000, 0.000, 0.765) and N at (0.000, 0.332, 0.748).

Its offset from the most stable computed form is 0.000 eV per atom. The calculation puts the raw formation energy at -1.549 eV per atom. As for the crystal system: orthorhombic.

***

First-principles (PBE) data for an optimized crystal structure of CsRh, as listed in Alexandria.

The space group is Fm-3m (No. 225) and the conventional cell measures 6.065, 6.065 and 6.065 Å, with angles of 90.00, 90.00 and 90.00 degrees. The asymmetric unit holds Cs at (0.000, 0.000, 0.000) and Rh at (0.000, 0.000, 0.500).

For the formation energy, the calculation gives 2.84 eV/f.u. As for the crystal system: cubic.

***

First-principles (PBE) data for an optimized crystal structure of Ba2Na3Tl4, as listed in Alexandria.

The space group is Cmce (No. 64) and the conventional cell measures 6.776, 19.248 and 9.518 Å, with angles of 90.00, 90.00 and 90.00 degrees. The asymmetric unit holds Ba at (0.000, 0.105, 0.092), Na at (0.000, 0.000, 0.500), Na at (0.250, 0.229, 0.750), Tl at (0.000, 0.168, 0.482) and Tl at (0.250, 0.066, 0.750).

For the formation energy, the calculation gives -1.80 eV/f.u. As for the crystal system: orthorhombic.

***

First-principles (PBE) data for an optimized crystal structure of Li2LaGeRu, as listed in Alexandria.

The space group is P4/mmm (No. 123) and the conventional cell measures 4.685, 4.685 and 4.730 Å, with angles of 90.00, 90.00 and 90.00 degrees. The asymmetric unit holds Li at (0.000, 0.500, 0.000), La at (0.000, 0.000, 0.500), Ge at (0.500, 0.500, 0.500) and Ru at (0.500, 0.500, 0.000).

For the formation energy, the calculation gives -0.58 eV/f.u. As for the crystal system: tetragonal.

***

First-principles (PBE) data for an optimized crystal structure of Sc5Au2, as listed in Alexandria.

The space group is Ibam (No. 72) and the conventional cell measures 6.839, 14.110 and 6.336 Å, with angles of 90.00, 90.00 and 90.00 degrees. The asymmetric unit holds Sc at (0.000, 0.000, 0.250), Sc at (0.000, 0.229, 0.250), Sc at (0.151, 0.413, 0.000) and Au at (0.240, 0.378, 0.500).

For the formation energy, the calculation gives -3.42 eV/f.u. As for the crystal system: orthorhombic.

***

| no. | magnetic moment (μB per cell) | V (Å³ per atom) |
| --- | --- | --- |
| 1 | 0.8 | 16.87 |
| 2 | 0.0 | 23.23 |
| 3 | 0.0 | 29.05 |
| 4 | 0.0 | 14.78 |
| 5 | 1.1 | 27.89 |
| 6 | 0.0 | 34.48 |
| 7 | 0.0 | 20.76 |
| 8 | 0.0 | 21.83 |